This record from the Alexandria database describes a PBEsol-optimized structure of CuSeO3. The functional is SCAN.

a b c (Å): 5.9328 12.1581 6.9646
angles (deg): 90.00 90.00 90.00
Closest atoms and distances in Å follow each position.
Positions (direct):
Cu 0.1532 0.0939 0.0784  4 O 1.94-1.97
Cu 0.1532 0.4061 0.5784  4 O 1.94-1.97
Cu 0.3468 0.5939 0.0784  4 O 1.94-1.97
Cu 0.3468 0.9061 0.5784  4 O 1.94-1.97
Cu 0.6532 0.0939 0.4216  4 O 1.94-1.97
Cu 0.6532 0.4061 0.9216  4 O 1.94-1.97
Cu 0.8468 0.5939 0.4216  4 O 1.94-1.97
Cu 0.8468 0.9061 0.9216  4 O 1.94-1.97
Se 0.1075 0.1447 0.5546  3 O 1.72-1.78
Se 0.1075 0.3553 0.0546  3 O 1.72-1.78
Se 0.3925 0.6447 0.5546  3 O 1.72-1.78
Se 0.3925 0.8553 0.0546  3 O 1.72-1.78
Se 0.6075 0.1447 0.9454  3 O 1.72-1.78
Se 0.6075 0.3553 0.4454  3 O 1.72-1.78
Se 0.8925 0.6447 0.9454  3 O 1.72-1.78
Se 0.8925 0.8553 0.4454  3 O 1.72-1.78
O 0.0270 0.5888 0.1476  1 Se 1.75, 1 Cu 1.96
O 0.0270 0.9112 0.6476  1 Se 1.75, 1 Cu 1.96
O 0.1391 0.5666 0.5442  1 Se 1.78, 2 Cu 1.96-1.97
O 0.1391 0.9334 0.0442  1 Se 1.78, 2 Cu 1.96-1.97
O 0.2089 0.2351 0.9579  1 Se 1.72
O 0.2089 0.2649 0.4579  1 Se 1.72
O 0.2911 0.7351 0.9579  1 Se 1.72
O 0.2911 0.7649 0.4579  1 Se 1.72
O 0.3609 0.0666 0.5442  1 Se 1.78, 2 Cu 1.96-1.97
O 0.3609 0.4334 0.0442  1 Se 1.78, 2 Cu 1.96-1.97
O 0.4730 0.0888 0.1476  1 Se 1.75, 1 Cu 1.96
O 0.4730 0.4112 0.6476  1 Se 1.75, 1 Cu 1.96
O 0.5270 0.5888 0.3524  1 Se 1.75, 1 Cu 1.96
O 0.5270 0.9112 0.8524  1 Se 1.75, 1 Cu 1.96
O 0.6391 0.5666 0.9558  1 Se 1.78, 2 Cu 1.96-1.97
O 0.6391 0.9334 0.4558  1 Se 1.78, 2 Cu 1.96-1.97
O 0.7089 0.2351 0.5421  1 Se 1.72
O 0.7089 0.2649 0.0421  1 Se 1.72
O 0.7911 0.7351 0.5421  1 Se 1.72
O 0.7911 0.7649 0.0421  1 Se 1.72
O 0.8609 0.0666 0.9558  1 Se 1.78, 2 Cu 1.96-1.97
O 0.8609 0.4334 0.4558  1 Se 1.78, 2 Cu 1.96-1.97
O 0.9730 0.0888 0.3524  1 Se 1.75, 1 Cu 1.96
O 0.9730 0.4112 0.8524  1 Se 1.75, 1 Cu 1.96

Output
Formation energy from raw total energies in eV/atom: -0.784